No. 1
Material: Pr3Dy4Th
Method: DFT, PBE
State: relaxed

Structure (extended XYZ):
```
8
Lattice="-1.7279 5.8713 6.6246 1.7279 -5.8713 6.6246 1.7279 5.8713 -6.6246" Properties=species:S:1:pos:R:3 pbc="T T T"
Pr 0.0000 0.0000 0.0000
Pr 1.7279 0.0000 3.5555
Pr 0.0000 5.8713 3.0692
Dy 1.7279 2.9178 -1.7634
Dy 1.7279 2.9178 1.7634
Dy 0.0000 2.9534 4.8612
Dy 0.0000 2.9534 8.3881
Th 0.0000 0.0000 6.6246
```

Energy of formation from the pure elements ... 145 meV per atom
Density of states at the Fermi level ... 1.457 states/eV/atom
Density ... 8060 kg/m³
Magnetic moment ... 0.0 μB per cell
Final energy ... -0.1792 hartree per atom



No. 2
Material: TiVSCl2
Method: DFT, PBE
State: relaxed

Structure (extended XYZ):
```
5
Lattice="4.7589 0.0000 0.0000 0.0000 4.7589 0.0000 0.0000 0.0000 4.8748" Properties=species:S:1:pos:R:3 pbc="T T T"
Ti 0.0000 0.0000 0.0000
V 2.3795 2.3795 2.4374
S 0.0000 0.0000 2.4374
Cl 0.0000 2.3795 0.0000
Cl 2.3795 0.0000 0.0000
```

Polymorph energy (0 for the lowest one) ... 0.0 meV per atom
Density of states at the Fermi level ... 1.290 states/eV/atom
Density ... 3035 kg/m³
Uncorrected formation energy ... -1.87 eV/f.u.
Magnetic moment ... 4.9 μB per cell
Final energy ... -0.1963 hartree per atom



No. 3
Material: LiUCuTe3
Method: DFT, PBE
State: relaxed

Structure (extended XYZ):
```
12
Lattice="8.4807 0.0000 0.0000 0.0000 4.0689 0.0000 -1.6472 0.0000 9.1935" Properties=species:S:1:pos:R:3 pbc="T T T"
Li 1.0189 1.0172 1.4559
Li 5.8146 3.0517 7.7376
U 1.5238 3.0517 6.8990
U 5.3097 1.0172 2.2945
Cu 2.9731 3.0517 3.9005
Cu 3.8604 1.0172 5.2930
Te -0.5852 1.0172 7.7571
Te 1.3347 1.0172 4.4526
Te 3.2312 3.0517 1.2620
Te 3.6023 1.0172 7.9315
Te 5.4988 3.0517 4.7409
Te 7.4187 3.0517 1.4364
```

Density of states at the Fermi level ... 0.658 states/eV/atom
Density ... 7237 kg/m³
Uncorrected formation energy ... -3.55 eV/f.u.
Magnetic moment ... 4.0 μB per cell
Final energy ... -0.1854 hartree per atom



No. 4
Material: MnRu5
Method: DFT, PBE
State: relaxed

Structure (extended XYZ):
```
6
Lattice="0.0000 3.5607 3.5607 3.5607 0.0000 3.5607 3.5607 3.5607 0.0000" Properties=species:S:1:pos:R:3 pbc="T T T"
Mn 0.0000 0.0000 0.0000
Ru 2.6708 2.6708 2.6708
Ru 4.4506 4.4506 2.6708
Ru 4.4506 2.6708 4.4506
Ru 5.3411 5.3411 5.3411
Ru 2.6708 4.4506 4.4506
```

Energy of formation from the pure elements ... 556 meV per atom
Density of states at the Fermi level ... 1.617 states/eV/atom
Density ... 10304 kg/m³
Magnetic moment ... 3.4 μB per cell
Final energy ... -0.3198 hartree per atom



No. 5
Material: Li14InRh
Method: DFT, PBE
State: relaxed

Structure (extended XYZ):
```
16
Lattice="9.6385 0.0000 0.0000 0.0000 2.8103 5.2474 0.0000 -2.8103 5.2474" Properties=species:S:1:pos:R:3 pbc="T T T"
Li 0.0000 0.0000 0.0000
Li 0.0000 -1.3910 2.6242
Li 0.0000 1.3910 2.6242
Li 0.0000 0.0000 5.2231
Li 2.4150 0.0000 8.8114
Li 2.5566 -1.4653 6.2566
Li 2.5566 1.4653 6.2566
Li 2.6207 0.0000 3.4949
Li 4.8193 -1.4173 4.6339
Li 4.8193 1.4173 4.6339
Li 7.0178 0.0000 3.4949
Li 7.0820 -1.4653 6.2566
Li 7.0820 1.4653 6.2566
Li 7.2235 0.0000 8.8114
In 4.8193 0.0000 7.2547
Rh 4.8193 0.0000 2.0086
```

Energy of formation from the pure elements ... -75 meV per atom
Density of states at the Fermi level ... 0.427 states/eV/atom
Density ... 1839 kg/m³
Magnetic moment ... 0.0 μB per cell
Final energy ... -0.0875 hartree per atom



No. 6
Material: PrPuCdPd
Method: DFT, PBE
State: relaxed

Structure (extended XYZ):
```
4
Lattice="0.0000 3.7173 3.7173 3.7173 0.0000 3.7173 3.7173 3.7173 0.0000" Properties=species:S:1:pos:R:3 pbc="T T T"
Pr 0.0000 0.0000 0.0000
Pu 3.7173 3.7173 3.7173
Cd 1.8586 1.8586 1.8586
Pd 5.5759 5.5759 5.5759
```

Energy of formation from the pure elements ... -255 meV per atom
Density of states at the Fermi level ... 2.737 states/eV/atom
Density ... 9759 kg/m³
Magnetic moment ... 5.8 μB per cell
Final energy ... -0.2411 hartree per atom



No. 7
Material: Lu2MgSe4
Method: DFT, PBE
State: relaxed

Structure (extended XYZ):
```
28
Lattice="7.3348 0.0000 0.0000 -0.0154 8.4755 0.0000 -1.2417 -2.0572 13.9458" Properties=species:S:1:pos:R:3 pbc="T T T"
Lu 0.5930 3.2398 4.0892
Lu 0.5917 7.3944 4.0395
Lu 0.6293 3.2517 13.9421
Lu 1.7879 5.3425 9.8690
Lu 4.2897 1.0758 4.0768
Lu 5.4482 3.1666 0.0037
Lu 5.4859 -0.9761 9.9063
Lu 5.4846 3.1785 9.8566
Mg 0.6027 -1.0137 13.8796
Mg 1.8076 1.1099 9.9537
Mg 4.2700 5.3084 3.9921
Mg 5.4748 7.4320 0.0662
Se 0.5887 7.4411 1.3918
Se 0.6089 3.1704 1.4346
Se 0.6165 -0.9506 8.8879
Se 0.6204 3.1602 8.8589
Se 1.8057 1.0741 5.1311
Se 1.9071 5.3259 5.0931
Se 1.7837 1.0987 12.5106
Se 1.8408 5.3818 12.5138
Se 4.2367 1.0365 1.4321
Se 4.2938 5.3196 1.4352
Se 4.1705 1.0925 8.8527
Se 4.2719 5.3442 8.8147
Se 5.4571 3.2581 5.0869
Se 5.4610 7.3689 5.0579
Se 5.4687 3.2479 12.5112
Se 5.4888 -1.0228 12.5540
```

Polymorph energy (0 for the lowest one) ... 188.4 meV per atom
Density of states at the Fermi level ... 0.000 states/eV/atom
Density ... 5287 kg/m³
Uncorrected formation energy ... -10.50 eV/f.u.
Magnetic moment ... 0.0 μB per cell
Final energy ... -0.1841 hartree per atom



No. 8
Material: TlSn2Se2
Method: DFT, PBE
State: relaxed

Structure (extended XYZ):
```
10
Lattice="8.4039 0.0000 0.0000 0.0000 8.4039 0.0000 0.0000 0.0000 3.9165" Properties=species:S:1:pos:R:3 pbc="T T T"
Tl 0.0000 0.0000 0.0000
Tl 4.2019 4.2019 0.0000
Sn 1.2168 2.9851 1.9583
Sn 2.9851 7.1871 1.9583
Sn 5.4188 1.2168 1.9583
Sn 7.1871 5.4188 1.9583
Se 1.2564 5.4583 0.0000
Se 2.9456 1.2564 0.0000
Se 5.4583 7.1475 0.0000
Se 7.1475 2.9456 0.0000
```

Polymorph energy (0 for the lowest one) ... 19.8 meV per atom
Density of states at the Fermi level ... 0.273 states/eV/atom
Density ... 7201 kg/m³
Uncorrected formation energy ... -1.00 eV/f.u.
Magnetic moment ... 0.0 μB per cell
Final energy ... -0.1348 hartree per atom



No. 9
Material: LiTlReI6
Method: DFT, PBE
State: relaxed

Structure (extended XYZ):
```
18
Lattice="7.4935 0.0000 0.0000 -3.7467 6.4895 0.0000 0.0000 0.0000 14.9238" Properties=species:S:1:pos:R:3 pbc="T T T"
Li 0.0000 4.3263 3.7309
Li 3.7467 2.1632 11.1928
Tl 0.0000 0.0000 0.0000
Tl 0.0000 0.0000 7.4619
Re 0.0000 4.3263 11.1928
Re 3.7467 2.1632 3.7309
I -1.2631 2.4799 9.5986
I -2.2306 4.1557 12.7870
I 1.2631 2.4799 12.7870
I -0.9676 6.3434 9.5986
I 2.7792 0.1461 2.1368
I 1.5161 2.3338 5.3251
I 2.2306 4.1557 9.5986
I 0.9676 6.3434 12.7870
I 4.7143 0.1461 5.3251
I 2.4837 4.0097 2.1368
I 5.9774 2.3338 2.1368
I 5.0098 4.0097 5.3251
```

Density ... 5304 kg/m³
Uncorrected formation energy ... -3.16 eV/f.u.
Magnetic moment ... 6.0 μB per cell
Final energy ... -0.1192 hartree per atom



No. 10
Material: CoTc3B
Method: DFT, PBE
State: relaxed

Structure (extended XYZ):
```
5
Lattice="4.0368 0.0000 0.0000 0.0000 4.0368 0.0000 0.0000 0.0000 4.0368" Properties=species:S:1:pos:R:3 pbc="T T T"
Co 0.0000 0.0000 0.0000
Tc 0.0000 2.0184 2.0184
Tc 2.0184 0.0000 2.0184
Tc 2.0184 2.0184 0.0000
B 2.0184 2.0184 2.0184
```

Polymorph energy (0 for the lowest one) ... 0.0 meV per atom
Energy of formation from the pure elements ... 339 meV per atom
Density of states at the Fermi level ... 1.565 states/eV/atom
Density ... 9182 kg/m³
Magnetic moment ... 0.0 μB per cell
Final energy ... -0.3174 hartree per atom



No. 11
Material: InPbBr2Cl
Method: DFT, PBE
State: relaxed

Structure (extended XYZ):
```
5
Lattice="5.9547 0.0000 0.0000 0.0000 5.9547 0.0000 0.0000 0.0000 5.6204" Properties=species:S:1:pos:R:3 pbc="T T T"
In 0.0000 0.0000 0.0000
Pb 2.9773 2.9773 2.8102
Br 0.0000 2.9773 2.8102
Br 2.9773 0.0000 2.8102
Cl 2.9773 2.9773 0.0000
```

Polymorph energy (0 for the lowest one) ... 108.9 meV per atom
Density of states at the Fermi level ... 0.000 states/eV/atom
Density ... 4310 kg/m³
Uncorrected formation energy ... -3.90 eV/f.u.
Magnetic moment ... 0.0 μB per cell
Final energy ... -0.1142 hartree per atom



No. 12
Material: Ti4CuIr
Method: DFT, PBE
State: relaxed

Structure (extended XYZ):
```
6
Lattice="4.2473 0.0000 0.0000 0.0000 4.2473 0.0000 0.0000 0.0000 6.0072" Properties=species:S:1:pos:R:3 pbc="T T T"
Ti 0.0000 2.1237 1.4985
Ti 0.0000 2.1237 4.5087
Ti 2.1237 0.0000 1.4985
Ti 2.1237 0.0000 4.5087
Cu 0.0000 0.0000 3.0036
Ir 2.1237 2.1237 0.0000
```

Polymorph energy (0 for the lowest one) ... 338.5 meV per atom
Energy of formation from the pure elements ... -54 meV per atom
Density of states at the Fermi level ... 1.209 states/eV/atom
Density ... 6853 kg/m³
Magnetic moment ... 0.0 μB per cell
Final energy ... -0.2748 hartree per atom